A plane-wave DFT calculation with GGA-PBE was carried out for TlP2O2 after structural relaxation. Values from VASP.

energy above the most stable polymorph in this dataset: 777.6 meV/atom
formation energy without anion corrections: 401 meV/atom
SG: P4/mmm, No. 123

The structure in Quantum ESPRESSO input format:
```
&SYSTEM
  ibrav = 0, nat = 5, ntyp = 3
/
ATOMIC_SPECIES
O 16.00 O.upf
Tl 204.38 Tl.upf
P 30.97 P.upf
CELL_PARAMETERS angstrom
-0.277 -1.352 -3.476
1.554 -3.210 1.125
-5.698 -2.287 1.343
ATOMIC_POSITIONS crystal
O 0.000 0.000 0.000
O 0.000 0.000 0.500
Tl 0.500 0.500 0.500
P 0.000 0.500 0.000
P 0.500 0.000 0.000
```

A plane-wave DFT calculation with GGA-PBE was carried out for TlPO3 after structural relaxation. Values from VASP.

formation energy without anion corrections: -1747 meV/atom
SG: C2/c, No. 15

The structure in Quantum ESPRESSO input format:
```
&SYSTEM
  ibrav = 0, nat = 20, ntyp = 3
/
ATOMIC_SPECIES
P 30.97 P.upf
O 16.00 O.upf
Tl 204.38 Tl.upf
CELL_PARAMETERS angstrom
-5.637 1.877 1.221
-1.161 -2.819 7.718
4.628 5.913 3.534
ATOMIC_POSITIONS crystal
P 0.824 0.580 0.032
P 0.176 0.420 0.968
P 0.324 0.968 0.420
P 0.676 0.032 0.580
O 0.187 0.400 0.793
O 0.313 0.793 0.400
O 0.570 0.008 0.383
O 0.121 0.110 0.340
O 0.430 0.992 0.617
O 0.930 0.383 0.008
O 0.813 0.600 0.207
O 0.687 0.207 0.600
O 0.879 0.890 0.660
O 0.070 0.617 0.992
O 0.379 0.340 0.110
O 0.621 0.660 0.890
Tl 0.750 0.583 0.583
Tl 0.250 0.894 0.894
Tl 0.250 0.417 0.417
Tl 0.750 0.106 0.106
```

A plane-wave DFT calculation with GGA-PBE was carried out for TlP2O2 after structural relaxation. Values from VASP.

energy above the most stable polymorph in this dataset: 0.0 meV/atom
formation energy without anion corrections: -377 meV/atom
SG: P4/mmm, No. 123

The structure in Quantum ESPRESSO input format:
```
&SYSTEM
  ibrav = 0, nat = 5, ntyp = 3
/
ATOMIC_SPECIES
P 30.97 P.upf
Tl 204.38 Tl.upf
O 16.00 O.upf
CELL_PARAMETERS angstrom
3.699 0.000 0.000
0.000 3.699 0.000
0.000 0.000 4.777
ATOMIC_POSITIONS crystal
P 0.000 0.000 0.000
P 0.000 0.000 0.500
Tl 0.500 0.500 0.500
O 0.500 0.000 0.000
O 0.000 0.500 0.000
```

A plane-wave DFT calculation with GGA-PBE was carried out for TlP3O9 after structural relaxation. Values from VASP.

formation energy without anion corrections: -1823 meV/atom
SG: C222_1, No. 20

The structure in Quantum ESPRESSO input format:
```
&SYSTEM
  ibrav = 0, nat = 26, ntyp = 3
/
ATOMIC_SPECIES
O 16.00 O.upf
P 30.97 P.upf
Tl 204.38 Tl.upf
CELL_PARAMETERS angstrom
-5.641 -0.055 -4.128
0.058 -6.982 0.348
-4.205 0.251 5.743
ATOMIC_POSITIONS crystal
O 0.771 0.009 0.441
O 0.684 0.389 0.971
O 0.317 0.970 0.540
O 0.229 0.991 0.941
O 0.152 0.848 0.250
O 0.611 0.316 0.529
O 0.848 0.152 0.750
O 0.991 0.229 0.059
O 0.258 0.322 0.823
O 0.316 0.611 0.471
O 0.009 0.771 0.559
O 0.678 0.742 0.677
O 0.030 0.683 0.960
O 0.970 0.317 0.460
O 0.742 0.678 0.323
O 0.389 0.684 0.029
O 0.683 0.030 0.040
O 0.322 0.258 0.177
P 0.213 0.796 0.460
P 0.796 0.213 0.540
P 0.787 0.787 0.500
P 0.204 0.787 0.040
P 0.213 0.213 0.000
P 0.787 0.204 0.960
Tl 0.709 0.709 0.000
Tl 0.291 0.291 0.500
```

A plane-wave DFT calculation with GGA-PBE was carried out for TlPO3 after structural relaxation. Values from VASP.

formation energy without anion corrections: 712 meV/atom
SG: Pm-3m, No. 221

The structure in Quantum ESPRESSO input format:
```
&SYSTEM
  ibrav = 0, nat = 5, ntyp = 3
/
ATOMIC_SPECIES
O 16.00 O.upf
Tl 204.38 Tl.upf
P 30.97 P.upf
CELL_PARAMETERS angstrom
-0.806 -4.023 -0.723
3.522 -1.057 1.958
-2.075 -0.232 3.605
ATOMIC_POSITIONS crystal
O 0.000 0.500 0.000
O 0.500 0.000 0.000
O 0.000 0.000 0.500
Tl 0.000 0.000 0.000
P 0.500 0.500 0.500
```

A plane-wave DFT calculation with GGA-PBE was carried out for TlPO4 after structural relaxation. Values from VASP.

formation energy without anion corrections: -1528 meV/atom
SG: P2_1/c, No. 14

The structure in Quantum ESPRESSO input format:
```
&SYSTEM
  ibrav = 0, nat = 24, ntyp = 3
/
ATOMIC_SPECIES
O 16.00 O.upf
Tl 204.38 Tl.upf
P 30.97 P.upf
CELL_PARAMETERS angstrom
4.597 0.000 0.000
0.000 4.619 -0.008
0.000 0.025 15.014
ATOMIC_POSITIONS crystal
O 0.213 0.432 0.569
O 0.673 0.450 0.193
O 0.173 0.550 0.307
O 0.827 0.450 0.693
O 0.288 0.932 0.931
O 0.212 0.932 0.431
O 0.788 0.068 0.569
O 0.713 0.568 0.931
O 0.175 0.050 0.693
O 0.787 0.568 0.431
O 0.287 0.432 0.069
O 0.825 0.950 0.307
O 0.325 0.050 0.193
O 0.712 0.068 0.069
O 0.675 0.950 0.807
O 0.327 0.550 0.807
Tl 0.501 0.750 0.642
Tl 0.001 0.250 0.858
Tl 0.499 0.250 0.358
Tl 0.999 0.750 0.142
P 0.999 0.750 0.373
P 0.499 0.250 0.127
P 0.001 0.250 0.627
P 0.501 0.750 0.873
```